First-principles (PBE+U) data for MnBrO2 after structural relaxation, as listed in Alexandria via LeMat-Bulk.

abc: 3.9762 3.9762 3.9762
angles: 60.00 60.00 60.00
Closest atoms and distances in Å follow each position.
Fractional coordinates of all 4 atoms:
O1 0.7500 0.7500 0.7500  4 Mn 2.43, 4 Br 2.43
O2 0.2500 0.2500 0.2500  4 Mn 2.43, 4 Br 2.43
Br1 0.5000 0.5000 0.5000  8 O 2.43
Mn1 0.0000 0.0000 0.0000  8 O 2.43

Properties
N(E_F): 0.826 states/eV/atom
Final energy: -13.3 eV for the cell shown